[1]
Compound: Pr2Al4InAg3
Source: the Alexandria database
Functional: GGA-PBE
Structure: optimized geometry

total magnetization = 0.000 μB/cell
symmetry = No. 115
volume = 21.69 Å³ per atom
total energy = -3.9436 eV per atom

Cell lengths 4.447, 4.447, 10.969 Å; angles 90.00, 90.00, 90.00 degrees
Positions (direct):
Al  0.500  0.000  0.646
Al  0.000  0.000  0.000
Al  0.000  0.500  0.354
Al  0.500  0.500  0.000
Ag  0.500  0.000  0.875
Ag  0.000  0.000  0.500
Ag  0.000  0.500  0.125
Pr  0.000  0.500  0.757
Pr  0.500  0.000  0.243
In  0.500  0.500  0.500



[2]
Compound: Nb2GaIr
Source: the Alexandria database
Functional: GGA-PBE
Structure: optimized geometry

total magnetization = 0.000 μB/cell
symmetry = No. 123
volume = 16.38 Å³ per atom
total energy = -8.3715 eV per atom

Cell lengths 4.080, 4.008, 4.008 Å; angles 90.00, 90.00, 90.00 degrees
Positions (direct):
Ga  0.500  0.500  0.500
Nb  0.000  0.000  0.500
Nb  0.000  0.500  0.000
Ir  0.500  0.000  0.000